Density functional theory data (PBE-GGA) for RbAcAg4 after structural relaxation.

Values from the calculation:
The calculated formation energy comes out at 28.1 kJ/mol of formula units. As for the calculated total energy: -64.759 eV/cell. The crystal system is cubic.

a = 8.5386 Å, b = 8.5386 Å, c = 8.5386 Å
α = 90.00°, β = 90.00°, γ = 90.00°
Last column: nearest neighbours and their distance in Å.
Space group F-43m (No. 216)
Unique sites:
Rb 0.0000 0.0000 0.0000 [4 per cell]  12 Ag 3.54, 4 Ac 3.70
Ac 0.2500 0.2500 0.2500 [4 per cell]  12 Ag 3.54, 4 Rb 3.70
Ag 0.1254 0.1254 0.6254 [16 per cell]  6 Ag 3.01-3.03

---

Density functional theory data (PBE-GGA) for RbAcAg2 after structural relaxation.

Values from the calculation:
The calculated formation energy comes out at 18.4 kJ/mol of formula units. As for the calculated total energy: -31.764 eV/cell. The crystal system is trigonal.

a = 4.5350 Å, b = 4.5350 Å, c = 26.7732 Å
α = 90.00°, β = 90.00°, γ = 120.00°
Last column: nearest neighbours and their distance in Å.
Space group R-3m (No. 166, hexagonal axes)
Unique sites:
Rb 0.0000 0.0000 0.0000 [3 per cell]  6 Ag 3.66
Ac 0.0000 0.0000 0.5000 [3 per cell]  6 Ag 3.24
Ag 0.0000 0.0000 0.2379 [6 per cell]  3 Ac 3.24

---

Density functional theory data (PBE-GGA) for RbAcAg2 after structural relaxation.

Values from the calculation:
The calculated formation energy comes out at -34.7 kJ/mol of formula units. As for the calculated total energy: -11.138 eV/cell. The crystal system is tetragonal.

a = 4.1319 Å, b = 4.1319 Å, c = 8.5647 Å
α = 90.00°, β = 90.00°, γ = 90.00°
Last column: nearest neighbours and their distance in Å.
Space group P4/mmm (No. 123)
Unique sites:
Rb 0.0000 0.0000 0.0000 [1 per cell]  8 Ag 4.00, 4 Rb 4.13, 2 Ac 4.28
Ac 0.0000 0.0000 0.5000 [1 per cell]  8 Ag 3.31
Ag 0.5000 0.5000 0.3182 [2 per cell]  1 Ag 3.11, 4 Ac 3.31

---

Density functional theory data (PBE-GGA) for RbAc2Ag after structural relaxation.

Values from the calculation:
The calculated formation energy comes out at 61.2 kJ/mol of formula units. As for the calculated total energy: -34.204 eV/cell. The crystal system is trigonal.

a = 4.0752 Å, b = 4.0752 Å, c = 38.5793 Å
α = 90.00°, β = 90.00°, γ = 120.00°
Last column: nearest neighbours and their distance in Å.
Space group R-3m (No. 166, hexagonal axes)
Unique sites:
Rb 0.0000 0.0000 0.0000 [3 per cell]  6 Rb 4.08, 2 Ac 4.17
Ac 0.0000 0.0000 0.1080 [6 per cell]  3 Ag 3.27
Ag 0.0000 0.0000 0.5000 [3 per cell]  6 Ac 3.27

---

Density functional theory data (PBE-GGA) for RbAcAgS2 after structural relaxation.

Values from the calculation:
Its formation energy from raw total energies is -1.084 eV/atom. As for the calculated total energy: -43.206 eV/cell. The crystal system is monoclinic.

a = 7.7825 Å, b = 5.1715 Å, c = 8.7121 Å
α = 90.00°, β = 101.03°, γ = 90.00°
Last column: nearest neighbours and their distance in Å.
Space group P2/c (No. 13)
Unique sites:
Rb 0.0000 0.1374 0.2500 [2 per cell]  6 S 3.52-3.69
Ac 0.5000 0.4903 0.7500 [2 per cell]  4 S 2.94-2.95
Ag 0.5000 0.0000 0.0000 [2 per cell]  2 S 2.54
S 0.2627 0.3450 0.9621 [4 per cell]  1 Ag 2.54

---

Density functional theory data (PBE-GGA) for RbAcAgSe3 after structural relaxation.

Values from the calculation:
Its formation energy from raw total energies is -1.142 eV/atom. As for the calculated total energy: -100.924 eV/cell. The crystal system is orthorhombic.

a = 4.5747 Å, b = 14.4793 Å, c = 12.0498 Å
α = 90.00°, β = 90.00°, γ = 90.00°
Last column: nearest neighbours and their distance in Å.
Space group Cmcm (No. 63)
Unique sites:
Rb 0.0000 0.2412 0.2500 [4 per cell]  6 Se 3.57-3.69, 2 Ag 3.82
Ac 0.0000 0.5000 0.0000 [4 per cell]  6 Se 3.10-3.11
Ag 0.0000 0.0475 0.7500 [4 per cell]  4 Se 2.64-2.70
Se 0.0000 0.1372 0.5590 [8 per cell]  1 Ag 2.64
Se 0.0000 0.4481 0.7500 [4 per cell]  2 Ag 2.70

---

Density functional theory data (PBE-GGA) for RbAcAgTe3 after structural relaxation.

Values from the calculation:
Its formation energy from raw total energies is -0.946 eV/atom. As for the calculated total energy: -92.119 eV/cell. The crystal system is orthorhombic.

a = 4.8457 Å, b = 17.7217 Å, c = 11.4158 Å
α = 90.00°, β = 90.00°, γ = 90.00°
Last column: nearest neighbours and their distance in Å.
Space group Cmcm (No. 63)
Unique sites:
Rb 0.0000 0.2463 0.2500 [4 per cell]  6 Te 3.70-3.79
Ac 0.0000 0.0000 0.0000 [4 per cell]  6 Te 3.32-3.35
Ag 0.0000 0.4914 0.2500 [4 per cell]  4 Te 2.84-2.88
Te 0.0000 0.0962 0.7500 [4 per cell]  2 Ag 2.88
Te 0.0000 0.3838 0.5932 [8 per cell]  1 Ag 2.84

---

Density functional theory data (PBE-GGA) for Ac3AgRh8 after structural relaxation.

Values from the calculation:
The calculated formation energy comes out at -454.4 kJ/mol of formula units. As for the calculated total energy: -236.093 eV/cell. The crystal system is trigonal.

a = 5.4823 Å, b = 5.4823 Å, c = 26.9469 Å
α = 90.00°, β = 90.00°, γ = 120.00°
Last column: nearest neighbours and their distance in Å.
Space group R3m (No. 160, hexagonal axes)
Unique sites:
Ac 0.0000 0.0000 0.0000 [3 per cell]  12 Rh 3.06-3.29, 3 Ag 3.26
Ac 0.0000 0.0000 0.1298 [3 per cell]  12 Rh 3.22-3.28, 4 Ac 3.46-3.50
Ac 0.0000 0.0000 0.5154 [3 per cell]  12 Rh 3.11-3.47, 1 Ag 3.30, 3 Ac 3.46
Ag 0.0000 0.0000 0.6377 [3 per cell]  12 Rh 3.04-3.30, 4 Ac 3.26-3.30
Rh 0.0000 0.0000 0.3185 [3 per cell]  6 Rh 2.72
Rh 0.0000 0.0000 0.8183 [3 per cell]  6 Rh 2.77-2.78
Rh 0.9999 0.4999 0.0673 [9 per cell]  6 Rh 2.72-2.77, 1 Ag 3.04
Rh 0.1674 0.3347 0.9030 [9 per cell]  6 Rh 2.72-2.78